(1)
Here is a geometry-optimized ZnCdBr2 structure from Alexandria. Energies are from GGA-PBE.

Structure (POSCAR):
```
ZnCdBr2
1.0
6.256 0.005 0.006
0.864 6.196 -0.006
-1.905 -5.001 3.241
Cd Br Zn
1 2 1
Direct
0.481 0.481 0.000
0.065 0.065 0.000
0.701 0.201 0.500
0.252 0.752 0.500
```

Computed properties:
The value obtained for the polymorph energy (0 for the lowest one) is 0.097 eV per atom. The formation energy without anion corrections comes out at -0.393 eV per atom. The space group is No. 44. The spin magnetization comes out at 0.000 μB per atom.

(2)
Here is a geometry-optimized Zr2HIrOs structure from Alexandria. Energies are from GGA-PBE.

Structure (POSCAR):
```
Zr2HIrOs
1.0
-1.969 3.224 -2.431
0.662 -2.410 -3.733
-3.253 -1.629 0.475
Zr Os H Ir
2 1 1 1
Direct
0.000 0.500 0.000
0.500 0.000 0.000
0.500 0.500 0.500
0.000 0.000 0.000
0.000 0.000 0.500
```

Computed properties:
The value obtained for the polymorph energy (0 for the lowest one) is 0.017 eV per atom. The space group is No. 123. The spin magnetization comes out at 0.000 μB per atom.

(3)
Here is a geometry-optimized ScCd2Br structure from Alexandria. Energies are from GGA-PBE.

Structure (POSCAR):
```
ScCd2Br
1.0
-3.318 2.933 -2.781
-1.215 -4.155 -2.934
-2.687 -0.847 2.313
Cd Br Sc
2 1 1
Direct
0.000 0.000 0.000
0.500 0.500 0.000
0.000 0.500 0.500
0.500 0.000 0.500
```

Computed properties:
The value obtained for the polymorph energy (0 for the lowest one) is 0.301 eV per atom. The formation energy without anion corrections comes out at -0.145 eV per atom. The space group is No. 123. The spin magnetization comes out at 0.000 μB per atom.

(4)
Here is a geometry-optimized NaVRu structure from Alexandria. Energies are from GGA-PBE.

Structure (POSCAR):
```
NaVRu
1.0
2.895 0.000 -0.006
0.000 4.140 0.000
-1.336 0.000 10.463
Na Ru V
2 2 2
Direct
0.167 0.750 0.357
0.833 0.250 0.643
0.456 0.250 0.906
0.544 0.750 0.094
0.052 0.250 0.111
0.948 0.750 0.889
```

Computed properties:
The value obtained for the polymorph energy (0 for the lowest one) is 0.134 eV per atom. The space group is No. 11. The spin magnetization comes out at 0.000 μB per atom.

(5)
Here is a geometry-optimized GaH2Au2 structure from Alexandria. Energies are from GGA-PBE.

Structure (POSCAR):
```
GaH2Au2
1.0
7.374 0.000 0.000
0.000 7.374 0.000
0.000 0.000 2.781
Au Ga H
4 2 4
Direct
0.364 0.864 0.000
0.136 0.364 0.000
0.636 0.136 0.000
0.864 0.636 0.000
0.000 0.000 0.000
0.500 0.500 0.000
0.241 0.259 0.500
0.259 0.759 0.500
0.759 0.741 0.500
0.741 0.241 0.500
```

Computed properties:
The value obtained for the polymorph energy (0 for the lowest one) is 0.044 eV per atom. The space group is No. 127. The spin magnetization comes out at 0.000 μB per atom.

(6)
Here is a geometry-optimized SmTlGaHg structure from Alexandria. Energies are from GGA-PBE.

Structure (POSCAR):
```
SmTlGaHg
1.0
5.231 0.000 0.000
2.615 4.530 0.000
2.615 1.510 4.271
Sm Tl Hg Ga
1 1 1 1
Direct
0.000 0.000 0.000
0.500 0.500 0.500
0.750 0.750 0.750
0.250 0.250 0.250
```

Computed properties:
The total energy comes out at -2.82 eV per atom. The space group is No. 216. The spin magnetization comes out at 0.000 μB per atom.